This record from the Alexandria database describes an optimized crystal structure of ZrTcPd. The functional is PBE.

Structure (extended XYZ):
```
6
Lattice="4.4676 -2.1179 0.0000 4.4676 2.1179 0.0000 -1.3843 0.0000 5.4119" Properties=species:S:1:pos:R:3 pbc="T T T"
Zr 0.8169 0.0000 1.6685
Zr 6.7341 0.0000 3.7434
Tc 4.4676 0.0000 0.0000
Tc 3.7755 0.0000 2.7060
Pd 0.4786 0.0000 4.5062
Pd 7.0723 0.0000 0.9057
```

Output
Uncorrected energy   -8.3593 eV/atom
Calculated formation energy   -324 meV/atom